MoPSeO2 | PBE+U | relaxed

Cell lengths 3.8596, 3.8596, 4.9528 Å; angles 90.00, 90.00, 90.00 degrees
Closest atoms and distances in Å follow each position.
Sites, in units of the cell vectors:
P 0.0000 0.0000 0.5000  2 Se 2.48, 4 Mo 2.73
Mo 0.5000 0.5000 0.5000  4 P 2.73
O 0.0000 0.5000 0.0000  2 Se 1.93
O 0.5000 0.0000 0.0000  2 Se 1.93
Se 0.0000 0.0000 0.0000  4 O 1.93

Computed properties:
Offset from the most stable computed form in eV/atom: 0.7635
D(E_F) in states/eV per atom: 0.259
Theoretical density in g/cm3: 5.35
Space group: P4/mmm
Calculated total energy in eV/atom: -4.9989
Spin magnetization in μB per formula unit: 3.08